Computed, not measured: Li2PrHoGe2 after structural relaxation at the PBE-GGA level of DFT.

Calculated values
**Calculated total energy**: -26.5 eV for the cell shown

Unit cell a=4.4605 b=4.4605 c=7.3789 alpha=90.00 beta=90.00 gamma=120.00
Positions (direct):
Li 0.3333 0.6667 0.2147
Li 0.6667 0.3333 0.7853
Pr 0.0000 0.0000 0.5000
Ho 0.0000 0.0000 0.0000
Ge 0.3333 0.6667 0.7651
Ge 0.6667 0.3333 0.2349



Computed, not measured: SrLiSnAu3 after structural relaxation at the PBE-GGA level of DFT.

Calculated values
**Calculated total energy**: -40.3 eV for the cell shown

Unit cell a=6.9550 b=6.9550 c=7.3147 alpha=90.00 beta=90.00 gamma=128.50
Positions (direct):
Sr 0.1861 0.8139 0.7500
Sr 0.8139 0.1861 0.2500
Li 0.4316 0.5684 0.7500
Li 0.5684 0.4316 0.2500
Sn 0.1316 0.8684 0.2500
Sn 0.8684 0.1316 0.7500
Au 0.2472 0.2472 0.0000
Au 0.2472 0.2472 0.5000
Au 0.3524 0.6476 0.2500
Au 0.6476 0.3524 0.7500
Au 0.7528 0.7528 0.0000
Au 0.7528 0.7528 0.5000



no.,calculated density (kg/m³)
1,6073
2,9645